## Sr2NpAs4Pd3 (GGA-PBE)

Data for a geometry-optimized Sr2NpAs4Pd3 structure.

abc: 4.4604 4.4604 11.2840
angles: 90.00 90.00 90.00
Fractional positions:
1 Sr 0.0000 0.5000 0.2262
2 Sr 0.5000 0.0000 0.7738
3 Np 0.0000 0.0000 0.5000
4 As 0.0000 0.0000 0.0000
5 As 0.0000 0.5000 0.6565
6 As 0.5000 0.0000 0.3435
7 As 0.5000 0.5000 0.0000
8 Pd 0.0000 0.5000 0.8868
9 Pd 0.5000 0.0000 0.1132
10 Pd 0.5000 0.5000 0.5000

As for the space group: P-4m2 (115). The calculation puts the magnetic moment at 3.70 μB/f.u. The formation energy comes out at -0.70 eV per atom.